[1]
Computed, not measured: a relaxed structure of LaFeTc2 at the GGA-PBE level of DFT.

It has space group P4/mmm (No. 123), with a = 4.582 Å, b = 4.582 Å, c = 3.313 Å, α = 90.00°, β = 90.00° and γ = 90.00°. The distinct sites, in fractional coordinates, are La at (0.000, 0.000, 0.000), Fe at (0.500, 0.500, 0.000) and Tc at (0.000, 0.500, 0.500).

The value obtained for the magnetization is 3.2 μB per cell. The electronic total energy is -7.905 eV/atom. The formation energy is 0.625 eV/atom.

[2]
Computed, not measured: a relaxed structure of Na3IrPb2O6 at the GGA-PBE level of DFT.

It has space group C2/m (No. 12), with a = 6.006 Å, b = 10.631 Å, c = 5.805 Å, α = 90.00°, β = 109.57° and γ = 90.00°. The distinct sites, in fractional coordinates, are Na at (0.000, 0.000, 0.000), Na at (0.000, 0.354, 0.000), Ir at (0.000, 0.500, 0.500), Pb at (0.000, 0.168, 0.500), O at (0.208, 0.363, 0.715) and O at (0.221, 0.500, 0.298).

For the formation energy from raw total energies, the calculation gives -1.159 eV/atom. The value obtained for the magnetization is 0.0 μB per cell. The electronic total energy is -5.324 eV/atom.

[3]
Computed, not measured: a relaxed structure of Ac2PuAu3 at the GGA-PBE level of DFT.

It has space group P4/mmm (No. 123), with a = 3.820 Å, b = 3.820 Å, c = 11.468 Å, α = 90.00°, β = 90.00° and γ = 90.00°. The distinct sites, in fractional coordinates, are Ac at (0.000, 0.000, 0.174), Pu at (0.000, 0.000, 0.500), Au at (0.500, 0.500, 0.000) and Au at (0.500, 0.500, 0.349).

The value obtained for the magnetization is 5.7 μB per cell. The electronic total energy is -6.023 eV/atom. The formation energy is -0.626 eV/atom.

[4]
Computed, not measured: a relaxed structure of ScAl4Os at the GGA-PBE level of DFT.

It has space group I4/mcm (No. 140), with a = 6.573 Å, b = 6.573 Å, c = 10.333 Å, α = 90.00°, β = 90.00° and γ = 90.00°. The distinct sites, in fractional coordinates, are Sc at (0.000, 0.000, 0.000), Al at (0.150, 0.350, 0.158) and Os at (0.000, 0.000, 0.250).

The value obtained for the magnetization is 0.0 μB per cell. The electronic total energy is -5.697 eV/atom. The formation energy is -0.275 eV/atom.

[5]
Computed, not measured: a relaxed structure of Li3CdPd7 at the GGA-PBE level of DFT.

It has space group C2/m (No. 12), with a = 8.799 Å, b = 8.034 Å, c = 5.078 Å, α = 90.00°, β = 95.45° and γ = 90.00°. The distinct sites, in fractional coordinates, are Li at (0.000, 0.000, 0.000), Li at (0.000, 0.188, 0.500), Cd at (0.000, 0.500, 0.000), Pd at (0.000, 0.500, 0.500), Pd at (0.224, 0.000, 0.721) and Pd at (0.249, 0.168, 0.238).

The value obtained for the magnetization is 0.0 μB per cell. The electronic total energy is -4.131 eV/atom. The formation energy is -0.221 eV/atom.

[6]
Computed, not measured: a relaxed structure of HoPuHf2As4 at the GGA-PBE level of DFT.

It has space group P2/m (No. 10), with a = 6.842 Å, b = 3.954 Å, c = 6.907 Å, α = 90.00°, β = 109.28° and γ = 90.00°. The distinct sites, in fractional coordinates, are Ho at (0.000, 0.000, 0.000), Pu at (0.500, 0.500, 0.000), Hf at (0.000, 0.500, 0.500), Hf at (0.500, 0.000, 0.500), As at (0.243, 0.000, 0.733) and As at (0.255, 0.500, 0.267).

The value obtained for the magnetization is 5.5 μB per cell. The electronic total energy is -8.344 eV/atom. The formation energy is -1.167 eV/atom.

[7]
Computed, not measured: a relaxed structure of CeHo2Cu9 at the GGA-PBE level of DFT.

It has space group P6_3/mmc (No. 194), with a = 5.2244 Å, b = 5.2244 Å, c = 16.3968 Å, α = 90.00°, β = 90.00° and γ = 120.00°. The distinct sites, in fractional coordinates, are Ce at (0.3333, 0.6667, 0.2500), Ho at (0.3333, 0.6667, 0.0352), Cu at (0.0000, 0.0000, 0.0000), Cu at (0.0000, 0.0000, 0.2500), Cu at (0.1670, 0.3339, 0.6256) and Cu at (0.3333, 0.6667, 0.7500).

The value obtained for the magnetization is 1.7 μB per cell. The electronic total energy is -4.494 eV/atom. The formation energy is -0.164 eV/atom.